A plane-wave DFT calculation with PBE-GGA was carried out for a geometry-optimized La7PmEr2 structure.

Properties
- SG = Cmmm
- calculated formation energy (eV per atom) = 0.596
- crystal system = orthorhombic
- volume (Å³ per atom) = 42.9

CIF file:
```
data_La7PmEr2
_cell_length_a 5.8498
_cell_length_b 9.2793
_cell_length_c 9.2793
_cell_angle_alpha 121.52
_cell_angle_beta 90.00
_cell_angle_gamma 90.00
_space_group_name_H-M_alt 'P 1'
_space_group_IT_number 1
_space_group_name_Hall 'P 1'
loop_
_atom_site_label
_atom_site_type_symbol
_atom_site_fract_x
_atom_site_fract_y
_atom_site_fract_z
_atom_site_occupancy
La1 La 0.0000 0.7636 0.2364 1
La2 La 0.0000 0.2364 0.7636 1
La3 La 0.5000 0.0660 0.2978 1
La4 La 0.5000 0.9340 0.7022 1
La5 La 0.5000 0.2978 0.0660 1
La6 La 0.5000 0.7022 0.9340 1
La7 La 0.5000 0.5000 0.5000 1
Pm1 Pm 0.0000 0.0000 0.0000 1
Er1 Er 0.5000 0.7041 0.2959 1
Er2 Er 0.5000 0.2959 0.7041 1
```